<w>
VASP calculation (PBE) on an optimized crystal structure of LiHoNi.

Summary:
Size of the total moment in Bohr magnetons per cell: 0.00
Theoretical density in g/cm³: 7.0

Cell and atoms, written as POSCAR:
```
LiHoNi
1.0
-2.148 -2.238 2.127
5.518 -1.263 4.245
-3.334 9.701 6.843
Ho Ni Li
6 6 6
Cartesian
-0.124 4.909 6.705
2.287 5.195 9.441
-1.697 7.882 8.244
0.160 1.291 6.510
1.734 -1.682 4.971
-2.250 1.005 3.774
-2.791 5.301 7.749
-0.481 3.112 4.452
2.827 0.899 5.465
0.468 7.473 10.000
0.517 3.088 8.763
-0.431 -1.273 3.214
0.867 0.893 3.478
0.764 6.010 12.086
-0.830 5.307 9.737
2.740 2.835 7.415
-0.727 0.190 1.129
-2.704 3.365 5.800
```

=====

<x>
VASP calculation (PBE) on an optimized crystal structure of LiHoNi.

Summary:
Size of the total moment in Bohr magnetons per cell: 0.00
Theoretical density in g/cm³: 7.1

Cell and atoms, written as POSCAR:
```
LiHoNi
1.0
3.408 0.000 0.000
0.000 3.408 0.000
-1.704 -1.704 4.670
Li Ho Ni
1 1 1
Cartesian
1.704 1.704 1.304
1.704 1.704 4.037
0.000 0.000 2.599
```

=====

<y>
VASP calculation (PBE) on an optimized crystal structure of LiHoNi.

Summary:
Size of the total moment in Bohr magnetons per cell: 0.00
Theoretical density in g/cm³: 7.0

Cell and atoms, written as POSCAR:
```
LiHoNi
1.0
-1.830 0.499 -3.011
-3.498 -1.349 1.902
0.992 4.085 0.075
Ho Li Ni
1 1 1
Cartesian
-1.725 2.606 -1.324
-2.307 0.545 0.791
-0.304 0.083 -0.501
```

=====

If we sort the structures by their calculated energies, the order from most to least stable is <w>, <x>, <y>.

=====

<w>
VASP calculation (PBE) on an optimized crystal structure of LiHo2O3.

Summary:
Size of the total moment in Bohr magnetons per cell: 0.00
Theoretical density in g/cm³: 8.4

Cell and atoms, written as POSCAR:
```
LiHo2O3
1.0
3.346 0.000 0.000
-1.673 2.898 0.000
0.000 0.000 7.888
Li O Ho
1 3 2
Cartesian
0.000 0.000 3.944
0.000 1.932 5.264
1.673 0.966 2.624
0.000 0.000 0.000
0.000 1.932 1.421
1.673 0.966 6.466
```

=====

<x>
VASP calculation (PBE) on an optimized crystal structure of LiHo2O3.

Summary:
Size of the total moment in Bohr magnetons per cell: 0.93
Theoretical density in g/cm³: 7.8

Cell and atoms, written as POSCAR:
```
LiHo2O3
1.0
-3.745 0.726 -1.354
3.213 -1.172 -2.165
0.421 -6.598 0.773
Ho O Li
2 3 1
Cartesian
-1.047 -4.666 -1.078
1.738 -2.660 -1.753
2.729 -7.121 -1.337
1.166 -4.859 -1.388
-0.501 -2.427 -1.444
0.579 -6.906 -1.039
```

=====

If we sort the structures by their calculated energies, the order from most to least stable is <w>, <x>.

=====

<w>
VASP calculation (PBE) on an optimized crystal structure of LiHoS2O8.

Summary:
Size of the total moment in Bohr magnetons per cell: 0.00
Theoretical density in g/cm³: 3.6

Cell and atoms, written as POSCAR:
```
LiHoS2O8
1.0
7.543 0.000 0.000
0.000 7.543 0.000
0.000 0.000 5.947
Li O S Ho
2 16 4 2
Cartesian
0.000 3.771 1.487
3.771 0.000 4.460
2.211 3.076 3.960
4.474 6.182 5.559
5.132 6.841 3.362
4.466 2.211 1.987
6.841 2.410 2.585
5.982 0.695 0.987
6.848 5.982 4.960
6.182 3.069 0.389
0.702 5.132 2.585
3.076 5.332 1.987
1.561 6.848 0.987
1.361 4.474 0.389
2.410 0.702 3.362
5.332 4.466 3.960
0.695 1.561 4.960
3.069 1.361 5.559
5.854 2.082 1.487
1.689 5.461 1.487
2.082 1.689 4.460
5.461 5.854 4.460
0.000 3.771 4.460
3.771 0.000 1.487
```

=====

<x>
VASP calculation (PBE) on an optimized crystal structure of LiHoS2O8.

Summary:
Size of the total moment in Bohr magnetons per cell: 0.00
Theoretical density in g/cm³: 3.7

Cell and atoms, written as POSCAR:
```
LiHoS2O8
1.0
-3.159 4.223 0.935
-1.495 -4.877 1.633
3.046 1.000 5.774
S O Ho Li
2 8 1 1
Cartesian
-1.998 1.389 2.317
0.390 -1.043 6.025
-1.042 -0.587 6.079
0.383 2.170 6.830
1.067 -0.289 4.915
0.391 -2.500 5.654
-1.999 2.845 2.689
-2.675 0.635 3.428
-1.991 -1.824 1.512
-0.566 0.933 2.264
1.523 0.500 2.887
0.000 0.000 0.000
```

=====

If we sort the structures by their calculated energies, the order from most to least stable is <x>, <w>.

=====

<w>
VASP calculation (PBE) on an optimized crystal structure of LiHoTlPb.

Summary:
Size of the total moment in Bohr magnetons per cell: 0.00
Theoretical density in g/cm³: 9.5

Cell and atoms, written as POSCAR:
```
LiHoTlPb
1.0
-2.978 -4.002 1.614
0.919 -2.244 4.648
-3.380 0.675 3.951
Tl Ho Pb Li
1 1 1 1
Cartesian
-1.360 -1.393 2.553
-2.719 -2.785 5.107
-4.079 -4.178 7.660
0.000 0.000 0.000
```

=====

<x>
VASP calculation (PBE) on an optimized crystal structure of LiHoTlPb.

Summary:
Size of the total moment in Bohr magnetons per cell: 0.00
Theoretical density in g/cm³: 9.6

Cell and atoms, written as POSCAR:
```
LiHoTlPb
1.0
4.225 0.000 0.000
0.000 4.793 0.000
0.000 0.000 4.977
Tl Li Ho Pb
1 1 1 1
Cartesian
2.113 2.397 0.000
0.000 0.000 0.000
0.000 2.397 2.488
2.113 0.000 2.488
```

=====

If we sort the structures by their calculated energies, the order from most to least stable is <x>, <w>.